Record 1
{
  "formula": "ZrTcPdPb2",
  "functional": "PBE",
  "state": "relaxed",
  "lattice": [[-3.2725, -2.6496, -3.0035], [3.6459, -1.1001, -3.0019], [0.9589, -4.2840, 2.7346]],
  "species": ["Pb", "Pb", "Zr", "Tc", "Pd"],
  "frac_coords": [[0.0000, 0.0000, 0.5000], [0.5000, 0.0000, 0.0000], [0.5000, 0.5000, 0.5000], [0.0000, 0.0000, 0.0000], [0.0000, 0.5000, 0.0000]],
  "e_form_mev_per_atom": 889,
  "sg": "P4/mmm, No. 123"
}

Record 2
{
  "formula": "HfCrAg2",
  "functional": "PBE",
  "state": "relaxed",
  "lattice": [[3.8776, 0.0000, 0.0000], [0.0000, 3.8776, 0.0000], [1.9388, 1.9388, 10.1337]],
  "species": ["Cr", "Cr", "Hf", "Hf", "Ag", "Ag", "Ag", "Ag"],
  "frac_coords": [[0.5000, 0.5000, 0.0000], [0.2500, 0.7500, 0.5000], [0.0000, 0.0000, 0.0000], [0.7500, 0.2500, 0.5000], [0.6165, 0.1250, 0.2500], [0.1335, 0.6250, 0.2500], [0.3750, 0.3835, 0.7500], [0.8750, 0.8665, 0.7500]],
  "e_form_mev_per_atom": 575,
  "sg": "I-42d, No. 122",
  "relative_energy_kj_per_mol_fu": 113.9
}

Record 3
{
  "formula": "Sr2Hg2Au",
  "functional": "PBE",
  "state": "relaxed",
  "lattice": [[-3.0308, -1.4839, -2.3828], [-0.8936, -3.1762, 3.1146], [-4.7734, 6.5423, 1.9971]],
  "species": ["Sr", "Sr", "Hg", "Hg", "Au"],
  "frac_coords": [[0.0000, 0.6838, 0.3677], [0.0000, 0.9303, 0.8607], [0.5000, 0.3054, 0.6107], [0.5000, 0.5058, 0.0116], [0.5000, 0.1167, 0.2334]],
  "e_form_mev_per_atom": -574,
  "sg": "Amm2, No. 38",
  "relative_energy_kj_per_mol_fu": 0.7
}

Record 4
{
  "formula": "ZnCd2Ag",
  "functional": "PBE",
  "state": "relaxed",
  "lattice": [[-0.4461, 1.1681, 2.7869], [2.4978, -1.4430, 1.0046], [4.5364, 6.4699, -1.9857]],
  "species": ["Zn", "Ag", "Cd", "Cd"],
  "frac_coords": [[0.5000, 0.5000, 0.2500], [0.5000, 0.5000, 0.7500], [0.0000, 0.0000, 0.0086], [0.0000, 0.0000, 0.4914]],
  "e_form_mev_per_atom": 29,
  "sg": "P4/mmm, No. 123"
}

Record 5
{
  "formula": "CdAsSe2N",
  "functional": "PBE",
  "state": "relaxed",
  "lattice": [[5.3262, 0.0000, 0.0000], [0.0000, 5.3262, 0.0000], [0.0000, 0.0000, 5.2306]],
  "species": ["As", "N", "Se", "Se", "Cd"],
  "frac_coords": [[0.0000, 0.0000, 0.5000], [0.5000, 0.5000, 0.5000], [0.0000, 0.5000, 0.0000], [0.5000, 0.0000, 0.0000], [0.0000, 0.0000, 0.0000]],
  "raw_formation_energy_kj_per_mol_fu": 828,
  "sg": "P4/mmm, No. 123",
  "relative_energy_kj_per_mol_fu": 528.3
}

Record 6
{
  "formula": "AlNiRh2",
  "functional": "PBE",
  "state": "relaxed",
  "lattice": [[-3.3769, 1.9149, -1.0185], [-1.3390, -1.2739, 2.0445], [0.4735, 2.9749, 4.0230]],
  "species": ["Ni", "Rh", "Rh", "Al"],
  "frac_coords": [[0.5000, 0.5534, 0.7694], [0.0000, 0.9594, 0.9572], [0.5000, 0.2926, 0.2892], [0.0000, 0.6947, 0.4843]],
  "e_form_mev_per_atom": -388,
  "sg": "Amm2, No. 38"
}

Record 7
{
  "formula": "TaTcAu2",
  "functional": "PBE",
  "state": "relaxed",
  "lattice": [[-1.0035, -0.6862, 3.6030], [-2.8641, -2.1868, -1.2142], [4.0976, -9.4240, 1.3530]],
  "species": ["Au", "Au", "Au", "Au", "Tc", "Tc", "Ta", "Ta"],
  "frac_coords": [[0.6211, 0.1250, 0.2500], [0.1289, 0.6250, 0.2500], [0.3750, 0.3789, 0.7500], [0.8750, 0.8711, 0.7500], [0.5000, 0.5000, 0.0000], [0.2500, 0.7500, 0.5000], [0.0000, 0.0000, 0.0000], [0.7500, 0.2500, 0.5000]],
  "e_form_mev_per_atom": 389,
  "sg": "I-42d, No. 122",
  "relative_energy_kj_per_mol_fu": 164.6
}

Record 8
{
  "formula": "Dy2Er5Th4",
  "functional": "PBE",
  "state": "relaxed",
  "lattice": [[-3.0201, 0.6287, -1.7766], [7.2124, -1.5629, -5.6935], [-5.2885, -10.4046, 1.7656]],
  "species": ["Dy", "Dy", "Er", "Er", "Er", "Er", "Er", "Th", "Th", "Th", "Th"],
  "frac_coords": [[0.8693, 0.2799, 0.8201], [0.1307, 0.7201, 0.1799], [0.9594, 0.0959, 0.2734], [0.0406, 0.9041, 0.7266], [0.5869, 0.8142, 0.4554], [0.5000, 0.0000, 0.0000], [0.4131, 0.1858, 0.5446], [0.7708, 0.4527, 0.3644], [0.3164, 0.3627, 0.0921], [0.2292, 0.5473, 0.6356], [0.6836, 0.6373, 0.9079]],
  "e_form_mev_per_atom": 24,
  "sg": "P-1, No. 2",
  "relative_energy_kj_per_mol_fu": 0.0
}

Record 9
{
  "formula": "La3GeB2Rh9",
  "functional": "PBE",
  "state": "relaxed",
  "lattice": [[6.1783, 0.0000, 0.0000], [-3.0892, 5.3506, 0.0000], [0.0000, 0.0000, 7.7184]],
  "species": ["La", "La", "La", "Ge", "B", "B", "Rh", "Rh", "Rh", "Rh", "Rh", "Rh", "Rh", "Rh", "Rh"],
  "frac_coords": [[0.3333, 0.6667, 0.6642], [0.0000, 0.0000, 0.0000], [0.6667, 0.3333, 0.3358], [0.0000, 0.0000, 0.5000], [0.3333, 0.6667, 0.1454], [0.6667, 0.3333, 0.8546], [0.8222, 0.1778, 0.6887], [0.8222, 0.6444, 0.6887], [0.3556, 0.1778, 0.6887], [0.6444, 0.8222, 0.3113], [0.1778, 0.3556, 0.3113], [0.1778, 0.8222, 0.3113], [0.5000, 0.0000, 0.0000], [0.0000, 0.5000, 0.0000], [0.5000, 0.5000, 0.0000]],
  "e_form_mev_per_atom": -660,
  "sg": "P-3m1, No. 164"
}

Record 10
{
  "formula": "KIn2GaF6",
  "functional": "PBE",
  "state": "relaxed",
  "lattice": [[-1.5990, 4.8764, 4.7545], [-1.8355, -1.7024, 6.1306], [3.5082, 1.0246, 5.2429]],
  "species": ["K", "In", "In", "Ga", "F", "F", "F", "F", "F", "F"],
  "frac_coords": [[0.7402, 0.7731, 0.7037], [0.4700, 0.5194, 0.4920], [0.0325, 0.0066, 0.9536], [0.1660, 0.2911, 0.2869], [0.7530, 0.2281, 0.1709], [0.2529, 0.8757, 0.1627], [0.8894, 0.6914, 0.2287], [0.3404, 0.8144, 0.7098], [0.8861, 0.1107, 0.6716], [0.1312, 0.3510, 0.6352]],
  "raw_formation_energy_kj_per_mol_fu": -2154,
  "sg": "P1, No. 1"
}

Record 11
{
  "formula": "NdAlZn4",
  "functional": "PBE",
  "state": "relaxed",
  "lattice": [[-3.7962, 3.6562, 1.2473], [-0.8626, 1.3511, 5.1735], [1.4463, 4.9005, 1.7965]],
  "species": ["Zn", "Zn", "Zn", "Zn", "Nd", "Al"],
  "frac_coords": [[0.6246, 0.6246, 0.1261], [0.6246, 0.1261, 0.6246], [0.6246, 0.6246, 0.6246], [0.1261, 0.6246, 0.6246], [0.0000, 0.0000, 0.0000], [0.2500, 0.2500, 0.2500]],
  "e_form_mev_per_atom": -109,
  "sg": "F-43m, No. 216"
}

Record 12
{
  "formula": "Ba2RhIO6",
  "functional": "PBE",
  "state": "relaxed",
  "lattice": [[5.9388, 0.0000, 0.0000], [2.9694, 5.1431, 0.0000], [2.9694, 1.7144, 10.2365]],
  "species": ["Ba", "Ba", "Ba", "Ba", "Rh", "Rh", "I", "I", "O", "O", "O", "O", "O", "O", "O", "O", "O", "O", "O", "O"],
  "frac_coords": [[0.8827, 0.8827, 0.3518], [0.1173, 0.1173, 0.6482], [0.7117, 0.7117, 0.8650], [0.2883, 0.2883, 0.1350], [0.5898, 0.5898, 0.2307], [0.4102, 0.4102, 0.7693], [0.0000, 0.0000, 0.0000], [0.5000, 0.5000, 0.5000], [0.8588, 0.3910, 0.3591], [0.3910, 0.8588, 0.3591], [0.3910, 0.3910, 0.3591], [0.1412, 0.6090, 0.6409], [0.6090, 0.1412, 0.6409], [0.6090, 0.6090, 0.6409], [0.7163, 0.2011, 0.8815], [0.2011, 0.7163, 0.8815], [0.2011, 0.2011, 0.8815], [0.2837, 0.7989, 0.1185], [0.7989, 0.2837, 0.1185], [0.7989, 0.7989, 0.1185]],
  "raw_formation_energy_kj_per_mol_fu": -1358,
  "sg": "R-3m, No. 166"
}

Record 13
{
  "formula": "La2DyYP4",
  "functional": "PBE",
  "state": "relaxed",
  "lattice": [[-0.2841, 2.0240, -3.6066], [-6.9531, 1.2561, 1.2526], [3.9222, 5.3645, 2.7015]],
  "species": ["La", "La", "Dy", "Y", "P", "P", "P", "P"],
  "frac_coords": [[0.5000, 0.0000, 0.5000], [0.0000, 0.5000, 0.5000], [0.5000, 0.5000, 0.0000], [0.0000, 0.0000, 0.0000], [0.5000, 0.2459, 0.2366], [0.5000, 0.7541, 0.7634], [0.0000, 0.2549, 0.7636], [0.0000, 0.7451, 0.2364]],
  "e_form_mev_per_atom": -1586,
  "sg": "P2/m, No. 10"
}

Record 14
{
  "formula": "SmTmTeAu",
  "functional": "PBE",
  "state": "relaxed",
  "lattice": [[4.1737, 0.0000, 0.0000], [2.0868, 3.6145, 0.0000], [2.0868, 1.2048, 7.5113]],
  "species": ["Sm", "Tm", "Te", "Au"],
  "frac_coords": [[0.5067, 0.5067, 0.4798], [0.9927, 0.9927, 0.0219], [0.7471, 0.7471, 0.7588], [0.2535, 0.2535, 0.2395]],
  "raw_formation_energy_kj_per_mol_fu": -400,
  "sg": "R3m, No. 160"
}

Record 15
{
  "formula": "SbWCl2",
  "functional": "PBE",
  "state": "relaxed",
  "lattice": [[-3.6498, 1.8268, 2.4975], [-2.0097, 4.1215, -1.3678], [-4.4070, 0.0102, -1.8640]],
  "species": ["Sb", "W", "Cl", "Cl"],
  "frac_coords": [[0.0000, 0.0000, 0.0000], [0.5000, 0.5000, 0.5000], [0.2500, 0.2500, 0.2500], [0.7500, 0.7500, 0.7500]],
  "raw_formation_energy_kj_per_mol_fu": 433,
  "sg": "Fm-3m, No. 225",
  "relative_energy_kj_per_mol_fu": 483.3
}

Record 16
{
  "formula": "FePIr2",
  "functional": "PBE",
  "state": "relaxed",
  "lattice": [[8.0386, -0.0200, -0.0118], [7.5714, 2.7007, -0.0118], [7.5714, 1.3002, 2.3671]],
  "species": ["Fe", "Ir", "Ir", "P"],
  "frac_coords": [[0.7597, 0.7597, 0.7597], [0.0056, 0.0056, 0.0056], [0.2396, 0.2396, 0.2396], [0.4951, 0.4951, 0.4951]],
  "e_form_mev_per_atom": -47,
  "sg": "R3m, No. 160"
}

Record 17
{
  "formula": "KCr2CoCu",
  "functional": "PBE",
  "state": "relaxed",
  "lattice": [[4.9196, 0.0000, 0.0000], [0.0000, 4.9196, 0.0000], [0.0000, 0.0000, 4.5983]],
  "species": ["Cr", "Cr", "K", "Co", "Cu"],
  "frac_coords": [[0.0000, 0.5000, 0.0000], [0.5000, 0.0000, 0.0000], [0.5000, 0.5000, 0.5000], [0.0000, 0.0000, 0.5000], [0.0000, 0.0000, 0.0000]],
  "e_form_mev_per_atom": 1229,
  "sg": "P4/mmm, No. 123"
}

Record 18
{
  "formula": "CuTe2OsI",
  "functional": "PBE",
  "state": "relaxed",
  "lattice": [[-2.0617, 0.4045, 4.6721], [4.5637, -1.0013, 2.1005], [1.2221, 5.6715, 0.0483]],
  "species": ["I", "Te", "Te", "Os", "Cu"],
  "frac_coords": [[0.0000, 0.0000, 0.5000], [0.0000, 0.5000, 0.0000], [0.5000, 0.0000, 0.0000], [0.0000, 0.0000, 0.0000], [0.5000, 0.5000, 0.5000]],
  "raw_formation_energy_kj_per_mol_fu": 465,
  "sg": "P4/mmm, No. 123",
  "relative_energy_kj_per_mol_fu": 0.0
}

Record 19
{
  "formula": "Y2SnPS",
  "functional": "PBE",
  "state": "relaxed",
  "lattice": [[-1.9238, -1.8205, 4.7125], [1.0709, -4.1598, -1.1698], [4.8817, 0.6281, 2.2355]],
  "species": ["Y", "Y", "P", "S", "Sn"],
  "frac_coords": [[0.0000, 0.0000, 0.5000], [0.5000, 0.0000, 0.0000], [0.0000, 0.0000, 0.0000], [0.0000, 0.5000, 0.0000], [0.5000, 0.5000, 0.5000]],
  "raw_formation_energy_kj_per_mol_fu": -240,
  "sg": "P4/mmm, No. 123"
}

Record 20
{
  "formula": "PrCoGe3",
  "functional": "PBE",
  "state": "relaxed",
  "lattice": [[4.4170, 0.0000, -0.0004], [0.0000, 4.4270, 0.0000], [-2.2093, -2.2135, 9.6076]],
  "species": ["Pr", "Pr", "Co", "Co", "Ge", "Ge", "Ge", "Ge", "Ge", "Ge"],
  "frac_coords": [[0.1631, 0.4129, 0.8258], [0.8369, 0.5871, 0.1742], [0.4110, 0.1613, 0.3226], [0.5890, 0.8387, 0.6774], [0.7114, 0.9613, 0.9226], [0.2886, 0.0387, 0.0774], [0.4548, 0.7051, 0.4103], [0.5452, 0.2949, 0.5897], [0.0458, 0.7956, 0.5913], [0.9542, 0.2044, 0.4087]],
  "e_form_mev_per_atom": -524,
  "sg": "Imma, No. 74"
}

Magnetic moment values (in μB per formula unit) by entry order: 0.0 2.8 0.0 0.0 3.0 1.3 0.0 0.0 0.0 0.0 0.0 0.0 0.0 0.0 1.8 1.0 11.0 0.0 0.0 0.0.